# GeCS3, optimized geometry, DFT PBE
# **Spin magnetization**: 0.000 μB per atom
# **Formation energy without anion corrections**: 1083 meV/atom
# **E above lowest polymorph**: 0.00 eV/f.u.
data_GeCS3
_symmetry_space_group_name_H-M 'P m -3 m'
_symmetry_Int_Tables_number 221
_symmetry_space_group_name_Hall '-P 4 2 3'
_cell_length_a 4.190
_cell_length_b 4.190
_cell_length_c 4.190
_cell_angle_alpha 90.00
_cell_angle_beta 90.00
_cell_angle_gamma 90.00
loop_
_atom_site_label
_atom_site_fract_x
_atom_site_fract_y
_atom_site_fract_z
_atom_site_occupancy
Ge1 0.000 0.000 0.000 1
C1 0.500 0.500 0.500 1
S1 0.000 0.500 0.500 1

---

# Mg2ScTe3, optimized geometry, DFT PBE
# **Spin magnetization**: 0.149 μB per atom
# **Formation energy without anion corrections**: -757 meV/atom
data_Mg2ScTe3
_symmetry_space_group_name_H-M 'P 1 21/m 1'
_symmetry_Int_Tables_number 11
_cell_length_a 8.147
_cell_length_b 4.213
_cell_length_c 11.531
_cell_angle_alpha 90.00
_cell_angle_beta 95.69
_cell_angle_gamma 90.00
loop_
_symmetry_equiv_pos_as_xyz
'x,y,z'
'-x,-y,-z'
'-x,y+1/2,-z'
'x,-y+1/2,z'
loop_
_atom_site_label
_atom_site_fract_x
_atom_site_fract_y
_atom_site_fract_z
_atom_site_occupancy
Mg1 0.071 0.250 0.412 1
Mg2 0.375 0.750 0.923 1
Sc1 0.221 0.250 0.707 1
Te1 0.042 0.750 0.828 1
Te2 0.271 0.750 0.525 1
Te3 0.448 0.750 0.169 1

---

# LaPrC4, optimized geometry, DFT PBE
# **Spin magnetization**: 0.000 μB per atom
# **Energy relative to the elements**: -0.13 eV per atom
data_LaPrC4
_symmetry_space_group_name_H-M 'P 4/m m m'
_symmetry_Int_Tables_number 123
_symmetry_space_group_name_Hall '-P 4 2'
_cell_length_a 3.918
_cell_length_b 3.918
_cell_length_c 6.542
_cell_angle_alpha 90.00
_cell_angle_beta 90.00
_cell_angle_gamma 90.00
loop_
_atom_site_label
_atom_site_fract_x
_atom_site_fract_y
_atom_site_fract_z
_atom_site_occupancy
La1 0.000 0.000 0.000 1
Pr1 0.500 0.500 0.500 1
C1 0.000 0.000 0.401 1
C2 0.500 0.500 0.099 1

---

# BiAuBr3, optimized geometry, DFT PBE
# **Spin magnetization**: 0.000 μB per atom
# **Formation energy without anion corrections**: 163 meV/atom
data_BiAuBr3
_symmetry_space_group_name_H-M 'P m -3 m'
_symmetry_Int_Tables_number 221
_symmetry_space_group_name_Hall '-P 4 2 3'
_cell_length_a 5.319
_cell_length_b 5.319
_cell_length_c 5.319
_cell_angle_alpha 90.00
_cell_angle_beta 90.00
_cell_angle_gamma 90.00
loop_
_atom_site_label
_atom_site_fract_x
_atom_site_fract_y
_atom_site_fract_z
_atom_site_occupancy
Bi1 0.000 0.000 0.000 1
Au1 0.500 0.500 0.500 1
Br1 0.000 0.500 0.500 1

---

# MgGeOs2S, optimized geometry, DFT PBE
# **Spin magnetization**: 0.279 μB per atom
# **Formation energy without anion corrections**: 2230 meV/atom
data_MgGeOs2S
_symmetry_space_group_name_H-M 'P 4/m m m'
_symmetry_Int_Tables_number 123
_symmetry_space_group_name_Hall '-P 4 2'
_cell_length_a 4.643
_cell_length_b 4.643
_cell_length_c 4.537
_cell_angle_alpha 90.00
_cell_angle_beta 90.00
_cell_angle_gamma 90.00
loop_
_atom_site_label
_atom_site_fract_x
_atom_site_fract_y
_atom_site_fract_z
_atom_site_occupancy
Mg1 0.000 0.000 0.000 1
Ge1 0.000 0.000 0.500 1
Os1 0.000 0.500 0.000 1
S1 0.500 0.500 0.500 1

---

# NaCa2YRh, optimized geometry, DFT PBE
# **Spin magnetization**: 0.000 μB per atom
# **Energy relative to the elements**: -0.21 eV per atom
data_NaCa2YRh
_symmetry_space_group_name_H-M 'P 4/m m m'
_symmetry_Int_Tables_number 123
_symmetry_space_group_name_Hall '-P 4 2'
_cell_length_a 5.660
_cell_length_b 5.660
_cell_length_c 5.342
_cell_angle_alpha 90.00
_cell_angle_beta 90.00
_cell_angle_gamma 90.00
loop_
_atom_site_label
_atom_site_fract_x
_atom_site_fract_y
_atom_site_fract_z
_atom_site_occupancy
Na1 0.000 0.000 0.000 1
Ca1 0.000 0.500 0.500 1
Y1 0.500 0.500 0.000 1
Rh1 0.500 0.500 0.500 1

---

# Tm3Tl4Te8As, optimized geometry, DFT PBE
# **Spin magnetization**: 0.000 μB per atom
# **Formation energy without anion corrections**: -788 meV/atom
data_Tm3Tl4Te8As
_symmetry_space_group_name_H-M 'R -3 m'
_symmetry_Int_Tables_number 166
_symmetry_space_group_name_Hall '-R 3 2"'
_cell_length_a 8.7745
_cell_length_b 8.7745
_cell_length_c 24.3903
_cell_angle_alpha 90.00
_cell_angle_beta 90.00
_cell_angle_gamma 120.00
loop_
_atom_site_label
_atom_site_fract_x
_atom_site_fract_y
_atom_site_fract_z
_atom_site_occupancy
Tm1 0.0000 0.5000 0.0000 1
Tl1 0.0000 0.0000 0.5000 1
Tl2 0.0000 0.5000 0.5000 1
Te1 0.0000 0.0000 0.2626 1
Te2 0.0100 0.5050 0.7348 1
As1 0.0000 0.0000 0.0000 1

---

# BeCoP4, optimized geometry, DFT PBE
# **Spin magnetization**: 0.296 μB per atom
# **Energy relative to the elements**: 0.87 eV per atom
data_BeCoP4
_symmetry_space_group_name_H-M 'F -4 3 m'
_symmetry_Int_Tables_number 216
_symmetry_space_group_name_Hall 'F -4 2 3'
_cell_length_a 6.901
_cell_length_b 6.901
_cell_length_c 6.901
_cell_angle_alpha 90.00
_cell_angle_beta 90.00
_cell_angle_gamma 90.00
loop_
_atom_site_label
_atom_site_fract_x
_atom_site_fract_y
_atom_site_fract_z
_atom_site_occupancy
Be1 0.000 0.000 0.000 1
Co1 0.250 0.250 0.750 1
P1 0.125 0.125 0.375 1

---

Q: Which value of spin magnetization does entry 1 give?
A: 0.000 μB per atom